# NdAl5IrPt (PBE-GGA, relaxed)
# - SG: Imm2
# - Total DFT energy (no corrections): -5.6189 eV per atom
# - M_tot: 0.01 μB per cell
data_NdAl5IrPt
_chemical_formula_sum 'Nd1 Al5 Ir1 Pt1'
_cell_length_a 6.494
_cell_length_b 6.494
_cell_length_c 6.494
_cell_angle_alpha 143.39
_cell_angle_beta 111.42
_cell_angle_gamma 80.34
_space_group_name_H-M_alt 'P 1'
_space_group_IT_number 1
loop_
_space_group_symop_operation_xyz
'x,y,z'
loop_
_atom_site_label
_atom_site_type_symbol
_atom_site_fract_x
_atom_site_fract_y
_atom_site_fract_z
Nd1 Nd 0.000 0.000 0.000
Al1 Al 0.157 0.344 0.813
Al2 Al 0.460 0.653 0.807
Al3 Al 0.500 0.000 0.500
Al4 Al 0.531 0.344 0.187
Al5 Al 0.846 0.653 0.193
Ir1 Ir 0.260 0.760 0.500
Pt1 Pt 0.743 0.243 0.500



# Nd2Al4IrPt (PBE-GGA, relaxed)
# - SG: Cm
# - Total DFT energy (no corrections): -5.5052 eV per atom
# - M_tot: 0.01 μB per cell
data_Nd2Al4IrPt
_chemical_formula_sum 'Nd2 Al4 Ir1 Pt1'
_cell_length_a 6.264
_cell_length_b 6.264
_cell_length_c 7.131
_cell_angle_alpha 123.61
_cell_angle_beta 123.61
_cell_angle_gamma 51.94
_space_group_name_H-M_alt 'P 1'
_space_group_IT_number 1
loop_
_space_group_symop_operation_xyz
'x,y,z'
loop_
_atom_site_label
_atom_site_type_symbol
_atom_site_fract_x
_atom_site_fract_y
_atom_site_fract_z
Nd1 Nd 0.000 0.000 0.000
Nd2 Nd 0.127 0.127 0.631
Al1 Al 0.344 0.344 0.506
Al2 Al 0.411 0.411 0.199
Al3 Al 0.709 0.709 0.422
Al4 Al 0.780 0.780 0.129
Ir1 Ir 0.508 0.508 0.958
Pt1 Pt 0.617 0.617 0.676



# TbNd2Al3Si2Ir (PBE-GGA, relaxed)
# - SG: Amm2
# - Total DFT energy (no corrections): -5.8069 eV per atom
# - M_tot: 0.00 μB per cell
data_TbNd2Al3Si2Ir
_chemical_formula_sum 'Tb1 Nd2 Al3 Si2 Ir1'
_cell_length_a 4.280
_cell_length_b 7.063
_cell_length_c 7.063
_cell_angle_alpha 119.93
_cell_angle_beta 90.00
_cell_angle_gamma 90.00
_space_group_name_H-M_alt 'P 1'
_space_group_IT_number 1
loop_
_space_group_symop_operation_xyz
'x,y,z'
loop_
_atom_site_label
_atom_site_type_symbol
_atom_site_fract_x
_atom_site_fract_y
_atom_site_fract_z
Tb1 Tb 0.000 0.000 0.000
Nd1 Nd 0.000 0.171 0.586
Nd2 Nd 0.000 0.586 0.171
Al1 Al 0.500 0.357 0.357
Al2 Al 0.500 0.591 0.817
Al3 Al 0.500 0.817 0.591
Si1 Si 0.500 0.249 0.924
Si2 Si 0.500 0.924 0.249
Ir1 Ir 0.000 0.594 0.594



# Nd2TmAl3Si2Ir (PBE-GGA, relaxed)
# - SG: Amm2
# - Total DFT energy (no corrections): -5.7929 eV per atom
# - M_tot: 0.00 μB per cell
data_Nd2TmAl3Si2Ir
_chemical_formula_sum 'Nd2 Tm1 Al3 Si2 Ir1'
_cell_length_a 4.268
_cell_length_b 7.030
_cell_length_c 7.030
_cell_angle_alpha 119.81
_cell_angle_beta 90.00
_cell_angle_gamma 90.00
_space_group_name_H-M_alt 'P 1'
_space_group_IT_number 1
loop_
_space_group_symop_operation_xyz
'x,y,z'
loop_
_atom_site_label
_atom_site_type_symbol
_atom_site_fract_x
_atom_site_fract_y
_atom_site_fract_z
Nd1 Nd 0.000 0.208 0.792
Nd2 Nd 0.000 0.792 0.208
Tm1 Tm 0.000 0.378 0.378
Al1 Al 0.500 0.022 0.022
Al2 Al 0.500 0.559 0.786
Al3 Al 0.500 0.786 0.559
Si1 Si 0.500 0.131 0.452
Si2 Si 0.500 0.452 0.131
Ir1 Ir 0.000 0.780 0.780



# Nd2YAl3Si2Ir (PBE-GGA, relaxed)
# - SG: Amm2
# - Total DFT energy (no corrections): -6.0144 eV per atom
# - M_tot: 0.01 μB per cell
data_Nd2YAl3Si2Ir
_chemical_formula_sum 'Nd2 Y1 Al3 Si2 Ir1'
_cell_length_a 4.279
_cell_length_b 7.062
_cell_length_c 7.062
_cell_angle_alpha 119.90
_cell_angle_beta 90.00
_cell_angle_gamma 90.00
_space_group_name_H-M_alt 'P 1'
_space_group_IT_number 1
loop_
_space_group_symop_operation_xyz
'x,y,z'
loop_
_atom_site_label
_atom_site_type_symbol
_atom_site_fract_x
_atom_site_fract_y
_atom_site_fract_z
Nd1 Nd 0.000 0.208 0.792
Nd2 Nd 0.000 0.792 0.208
Y1 Y 0.000 0.622 0.622
Al1 Al 0.500 0.212 0.439
Al2 Al 0.500 0.439 0.212
Al3 Al 0.500 0.978 0.978
Si1 Si 0.500 0.545 0.870
Si2 Si 0.500 0.870 0.545
Ir1 Ir 0.000 0.215 0.215



# NdY2Al3Si2Ir (PBE-GGA, relaxed)
# - SG: Amm2
# - Total DFT energy (no corrections): -6.2356 eV per atom
# - M_tot: 0.01 μB per cell
data_NdY2Al3Si2Ir
_chemical_formula_sum 'Nd1 Y2 Al3 Si2 Ir1'
_cell_length_a 4.246
_cell_length_b 7.001
_cell_length_c 7.001
_cell_angle_alpha 120.21
_cell_angle_beta 90.00
_cell_angle_gamma 90.00
_space_group_name_H-M_alt 'P 1'
_space_group_IT_number 1
loop_
_space_group_symop_operation_xyz
'x,y,z'
loop_
_atom_site_label
_atom_site_type_symbol
_atom_site_fract_x
_atom_site_fract_y
_atom_site_fract_z
Nd1 Nd 0.000 0.000 0.000
Y1 Y 0.000 0.416 0.832
Y2 Y 0.000 0.832 0.416
Al1 Al 0.500 0.187 0.420
Al2 Al 0.500 0.420 0.187
Al3 Al 0.500 0.647 0.647
Si1 Si 0.500 0.087 0.747
Si2 Si 0.500 0.747 0.087
Ir1 Ir 0.000 0.425 0.425



# NdTmAlIr2 (PBE-GGA, relaxed)
# - SG: Imm2
# - Total DFT energy (no corrections): -7.0113 eV per atom
# - M_tot: 0.00 μB per cell
data_NdTmAlIr2
_chemical_formula_sum 'Nd1 Tm1 Al1 Ir2'
_cell_length_a 5.617
_cell_length_b 5.617
_cell_length_c 5.617
_cell_angle_alpha 136.93
_cell_angle_beta 117.24
_cell_angle_gamma 79.15
_space_group_name_H-M_alt 'P 1'
_space_group_IT_number 1
loop_
_space_group_symop_operation_xyz
'x,y,z'
loop_
_atom_site_label
_atom_site_type_symbol
_atom_site_fract_x
_atom_site_fract_y
_atom_site_fract_z
Nd1 Nd 0.000 0.000 0.000
Tm1 Tm 0.603 0.603 0.000
Al1 Al 0.302 0.802 0.500
Ir1 Ir 0.043 0.302 0.742
Ir2 Ir 0.560 0.302 0.258



# AlNiIr (PBE-GGA, relaxed)
# - SG: F-43m
# - Total DFT energy (no corrections): -6.1615 eV per atom
# - M_tot: 0.92 μB per cell
data_AlNiIr
_chemical_formula_sum 'Al1 Ni1 Ir1'
_cell_length_a 4.072
_cell_length_b 4.072
_cell_length_c 4.072
_cell_angle_alpha 60.00
_cell_angle_beta 60.00
_cell_angle_gamma 60.00
_space_group_name_H-M_alt 'P 1'
_space_group_IT_number 1
loop_
_space_group_symop_operation_xyz
'x,y,z'
loop_
_atom_site_label
_atom_site_type_symbol
_atom_site_fract_x
_atom_site_fract_y
_atom_site_fract_z
Al1 Al 0.000 0.000 0.000
Ni1 Ni 0.500 0.500 0.500
Ir1 Ir 0.250 0.250 0.250



# AlNi2Ir (PBE-GGA, relaxed)
# - SG: F-43m
# - Total DFT energy (no corrections): -6.3073 eV per atom
# - M_tot: 0.89 μB per cell
data_AlNi2Ir
_chemical_formula_sum 'Al1 Ni2 Ir1'
_cell_length_a 4.131
_cell_length_b 4.131
_cell_length_c 4.131
_cell_angle_alpha 60.00
_cell_angle_beta 60.00
_cell_angle_gamma 60.00
_space_group_name_H-M_alt 'P 1'
_space_group_IT_number 1
loop_
_space_group_symop_operation_xyz
'x,y,z'
loop_
_atom_site_label
_atom_site_type_symbol
_atom_site_fract_x
_atom_site_fract_y
_atom_site_fract_z
Al1 Al 0.000 0.000 0.000
Ni1 Ni 0.500 0.500 0.500
Ni2 Ni 0.750 0.750 0.750
Ir1 Ir 0.250 0.250 0.250



# Al3NiIr2 (PBE-GGA, relaxed)
# - SG: P4/mmm
# - Total DFT energy (no corrections): -6.6007 eV per atom
# - M_tot: 0.01 μB per cell
data_Al3NiIr2
_chemical_formula_sum 'Al3 Ni1 Ir2'
_cell_length_a 2.947
_cell_length_b 2.947
_cell_length_c 9.115
_cell_angle_alpha 90.00
_cell_angle_beta 90.00
_cell_angle_gamma 90.00
_space_group_name_H-M_alt 'P 1'
_space_group_IT_number 1
loop_
_space_group_symop_operation_xyz
'x,y,z'
loop_
_atom_site_label
_atom_site_type_symbol
_atom_site_fract_x
_atom_site_fract_y
_atom_site_fract_z
Al1 Al 0.000 0.000 0.000
Al2 Al 0.000 0.000 0.344
Al3 Al 0.000 0.000 0.656
Ni1 Ni 0.500 0.500 0.500
Ir1 Ir 0.500 0.500 0.172
Ir2 Ir 0.500 0.500 0.828



# AlNiIr (PBE-GGA, relaxed)
# - SG: F-43m
# - Total DFT energy (no corrections): -6.2417 eV per atom
# - M_tot: 0.00 μB per cell
data_AlNiIr
_chemical_formula_sum 'Al1 Ni1 Ir1'
_cell_length_a 3.973
_cell_length_b 3.973
_cell_length_c 3.973
_cell_angle_alpha 60.00
_cell_angle_beta 60.00
_cell_angle_gamma 60.00
_space_group_name_H-M_alt 'P 1'
_space_group_IT_number 1
loop_
_space_group_symop_operation_xyz
'x,y,z'
loop_
_atom_site_label
_atom_site_type_symbol
_atom_site_fract_x
_atom_site_fract_y
_atom_site_fract_z
Al1 Al 0.000 0.000 0.000
Ni1 Ni 0.250 0.250 0.250
Ir1 Ir 0.750 0.750 0.750



# AlNiIrPd (PBE-GGA, relaxed)
# - SG: F-43m
# - Total DFT energy (no corrections): -6.0420 eV per atom
# - M_tot: 0.00 μB per cell
data_AlNiIrPd
_chemical_formula_sum 'Al1 Ni1 Ir1 Pd1'
_cell_length_a 4.276
_cell_length_b 4.276
_cell_length_c 4.276
_cell_angle_alpha 60.00
_cell_angle_beta 60.00
_cell_angle_gamma 60.00
_space_group_name_H-M_alt 'P 1'
_space_group_IT_number 1
loop_
_space_group_symop_operation_xyz
'x,y,z'
loop_
_atom_site_label
_atom_site_type_symbol
_atom_site_fract_x
_atom_site_fract_y
_atom_site_fract_z
Al1 Al 0.000 0.000 0.000
Ni1 Ni 0.250 0.250 0.250
Ir1 Ir 0.500 0.500 0.500
Pd1 Pd 0.750 0.750 0.750



# Zr3Al3NiIrPd (PBE-GGA, relaxed)
# - SG: P-6
# - Total DFT energy (no corrections): -7.0641 eV per atom
# - M_tot: 0.02 μB per cell
data_Zr3Al3NiIrPd
_chemical_formula_sum 'Zr3 Al3 Ni1 Ir1 Pd1'
_cell_length_a 7.145
_cell_length_b 7.145
_cell_length_c 3.517
_cell_angle_alpha 90.00
_cell_angle_beta 90.00
_cell_angle_gamma 120.00
_space_group_name_H-M_alt 'P 1'
_space_group_IT_number 1
loop_
_space_group_symop_operation_xyz
'x,y,z'
loop_
_atom_site_label
_atom_site_type_symbol
_atom_site_fract_x
_atom_site_fract_y
_atom_site_fract_z
Zr1 Zr 0.071 0.730 0.000
Zr2 Zr 0.270 0.341 0.000
Zr3 Zr 0.659 0.929 0.000
Al1 Al 0.421 0.088 0.500
Al2 Al 0.667 0.579 0.500
Al3 Al 0.912 0.333 0.500
Ni1 Ni 0.667 0.333 0.000
Ir1 Ir 0.333 0.667 0.500
Pd1 Pd 0.000 0.000 0.500



# Zr3Al3NiIrPt (PBE-GGA, relaxed)
# - SG: P-6
# - Total DFT energy (no corrections): -7.2498 eV per atom
# - M_tot: 0.00 μB per cell
data_Zr3Al3NiIrPt
_chemical_formula_sum 'Zr3 Al3 Ni1 Ir1 Pt1'
_cell_length_a 7.133
_cell_length_b 7.133
_cell_length_c 3.510
_cell_angle_alpha 90.00
_cell_angle_beta 90.00
_cell_angle_gamma 120.00
_space_group_name_H-M_alt 'P 1'
_space_group_IT_number 1
loop_
_space_group_symop_operation_xyz
'x,y,z'
loop_
_atom_site_label
_atom_site_type_symbol
_atom_site_fract_x
_atom_site_fract_y
_atom_site_fract_z
Zr1 Zr 0.070 0.729 0.000
Zr2 Zr 0.271 0.341 0.000
Zr3 Zr 0.659 0.930 0.000
Al1 Al 0.419 0.088 0.500
Al2 Al 0.669 0.581 0.500
Al3 Al 0.912 0.331 0.500
Ni1 Ni 0.667 0.333 0.000
Ir1 Ir 0.333 0.667 0.500
Pt1 Pt 0.000 0.000 0.500



# Sc2Al4NiIr (PBE-GGA, relaxed)
# - SG: Amm2
# - Total DFT energy (no corrections): -6.0041 eV per atom
# - M_tot: 0.00 μB per cell
data_Sc2Al4NiIr
_chemical_formula_sum 'Sc2 Al4 Ni1 Ir1'
_cell_length_a 6.829
_cell_length_b 5.210
_cell_length_c 5.210
_cell_angle_alpha 46.11
_cell_angle_beta 90.00
_cell_angle_gamma 90.00
_space_group_name_H-M_alt 'P 1'
_space_group_IT_number 1
loop_
_space_group_symop_operation_xyz
'x,y,z'
loop_
_atom_site_label
_atom_site_type_symbol
_atom_site_fract_x
_atom_site_fract_y
_atom_site_fract_z
Sc1 Sc 0.000 0.000 0.000
Sc2 Sc 0.500 0.140 0.140
Al1 Al 0.192 0.712 0.712
Al2 Al 0.294 0.423 0.423
Al3 Al 0.706 0.423 0.423
Al4 Al 0.808 0.712 0.712
Ni1 Ni 0.000 0.276 0.276
Ir1 Ir 0.500 0.857 0.857



# Sc3Al3Ni2Ir (PBE-GGA, relaxed)
# - SG: P-62m
# - Total DFT energy (no corrections): -6.2912 eV per atom
# - M_tot: 0.05 μB per cell
data_Sc3Al3Ni2Ir
_chemical_formula_sum 'Sc3 Al3 Ni2 Ir1'
_cell_length_a 6.774
_cell_length_b 6.774
_cell_length_c 3.756
_cell_angle_alpha 90.00
_cell_angle_beta 90.00
_cell_angle_gamma 120.00
_space_group_name_H-M_alt 'P 1'
_space_group_IT_number 1
loop_
_space_group_symop_operation_xyz
'x,y,z'
loop_
_atom_site_label
_atom_site_type_symbol
_atom_site_fract_x
_atom_site_fract_y
_atom_site_fract_z
Sc1 Sc 0.000 0.413 0.000
Sc2 Sc 0.413 0.000 0.000
Sc3 Sc 0.587 0.587 0.000
Al1 Al 0.000 0.744 0.500
Al2 Al 0.256 0.256 0.500
Al3 Al 0.744 0.000 0.500
Ni1 Ni 0.333 0.667 0.500
Ni2 Ni 0.667 0.333 0.500
Ir1 Ir 0.000 0.000 0.000



# ZrSc2Al3NiIr2 (PBE-GGA, relaxed)
# - SG: Amm2
# - Total DFT energy (no corrections): -7.0236 eV per atom
# - M_tot: 0.01 μB per cell
data_ZrSc2Al3NiIr2
_chemical_formula_sum 'Zr1 Sc2 Al3 Ni1 Ir2'
_cell_length_a 3.565
_cell_length_b 7.019
_cell_length_c 7.019
_cell_angle_alpha 120.24
_cell_angle_beta 90.00
_cell_angle_gamma 90.00
_space_group_name_H-M_alt 'P 1'
_space_group_IT_number 1
loop_
_space_group_symop_operation_xyz
'x,y,z'
loop_
_atom_site_label
_atom_site_type_symbol
_atom_site_fract_x
_atom_site_fract_y
_atom_site_fract_z
Zr1 Zr 0.000 0.000 0.000
Sc1 Sc 0.000 0.409 0.813
Sc2 Sc 0.000 0.813 0.409
Al1 Al 0.500 0.159 0.409
Al2 Al 0.500 0.409 0.159
Al3 Al 0.500 0.651 0.651
Ni1 Ni 0.000 0.402 0.402
Ir1 Ir 0.500 0.074 0.741
Ir2 Ir 0.500 0.741 0.074



# Sm2AlNiIr (PBE-GGA, relaxed)
# - SG: Imm2
# - Total DFT energy (no corrections): -6.1866 eV per atom
# - M_tot: 0.00 μB per cell
data_Sm2AlNiIr
_chemical_formula_sum 'Sm2 Al1 Ni1 Ir1'
_cell_length_a 5.612
_cell_length_b 5.612
_cell_length_c 5.612
_cell_angle_alpha 136.22
_cell_angle_beta 77.46
_cell_angle_gamma 119.68
_space_group_name_H-M_alt 'P 1'
_space_group_IT_number 1
loop_
_space_group_symop_operation_xyz
'x,y,z'
loop_
_atom_site_label
_atom_site_type_symbol
_atom_site_fract_x
_atom_site_fract_y
_atom_site_fract_z
Sm1 Sm 0.198 0.000 0.198
Sm2 Sm 0.802 0.000 0.802
Al1 Al 0.497 0.497 0.000
Ni1 Ni 0.245 0.745 0.500
Ir1 Ir 0.764 0.264 0.500



# SrAl5NiIr (PBE-GGA, relaxed)
# - SG: Imm2
# - Total DFT energy (no corrections): -4.9372 eV per atom
# - M_tot: 0.00 μB per cell
data_SrAl5NiIr
_chemical_formula_sum 'Sr1 Al5 Ni1 Ir1'
_cell_length_a 6.510
_cell_length_b 6.510
_cell_length_c 6.510
_cell_angle_alpha 143.63
_cell_angle_beta 112.40
_cell_angle_gamma 79.26
_space_group_name_H-M_alt 'P 1'
_space_group_IT_number 1
loop_
_space_group_symop_operation_xyz
'x,y,z'
loop_
_atom_site_label
_atom_site_type_symbol
_atom_site_fract_x
_atom_site_fract_y
_atom_site_fract_z
Sr1 Sr 0.000 0.000 0.000
Al1 Al 0.150 0.336 0.814
Al2 Al 0.465 0.659 0.806
Al3 Al 0.489 0.989 0.500
Al4 Al 0.522 0.336 0.186
Al5 Al 0.854 0.659 0.194
Ni1 Ni 0.262 0.762 0.500
Ir1 Ir 0.729 0.229 0.500



# Tm3Al3Ni2Ir (PBE-GGA, relaxed)
# - SG: P-62m
# - Total DFT energy (no corrections): -5.6812 eV per atom
# - M_tot: 0.00 μB per cell
data_Tm3Al3Ni2Ir
_chemical_formula_sum 'Tm3 Al3 Ni2 Ir1'
_cell_length_a 6.952
_cell_length_b 6.952
_cell_length_c 3.901
_cell_angle_alpha 90.00
_cell_angle_beta 90.00
_cell_angle_gamma 120.00
_space_group_name_H-M_alt 'P 1'
_space_group_IT_number 1
loop_
_space_group_symop_operation_xyz
'x,y,z'
loop_
_atom_site_label
_atom_site_type_symbol
_atom_site_fract_x
_atom_site_fract_y
_atom_site_fract_z
Tm1 Tm 0.000 0.418 0.000
Tm2 Tm 0.418 0.000 0.000
Tm3 Tm 0.582 0.582 0.000
Al1 Al 0.000 0.756 0.500
Al2 Al 0.244 0.244 0.500
Al3 Al 0.756 0.000 0.500
Ni1 Ni 0.333 0.667 0.500
Ni2 Ni 0.667 0.333 0.500
Ir1 Ir 0.000 0.000 0.000